Record 1
Material: NaCu2ReSe
Method: DFT, SCAN
State: single point on PBEsol structure

The structure belongs to space group P4/mmm (No. 123); the cell edges are 4.2904, 4.2904 and 4.9329 Å and the angles 90.00°, 90.00° and 90.00°. The inequivalent atoms are Na at (0.0000, 0.0000, 0.0000), Cu at (0.0000, 0.5000, 0.0000), Re at (0.0000, 0.0000, 0.5000) and Se at (0.5000, 0.5000, 0.5000).

As for the formation energy from raw total energies: 10.38 eV per formula unit.

---

Record 2
Material: Na2CuReSn
Method: DFT, SCAN
State: single point on PBEsol structure

The structure belongs to space group P4/mmm (No. 123); the cell edges are 5.5040, 5.5040 and 5.0521 Å and the angles 90.00°, 90.00° and 90.00°. The inequivalent atoms are Na at (0.0000, 0.5000, 0.0000), Cu at (0.0000, 0.0000, 0.5000), Re at (0.5000, 0.5000, 0.5000) and Sn at (0.5000, 0.5000, 0.0000).

Its formation energy is 1441 meV per atom.

---

Record 3
Material: Na2Cu2Rh
Method: DFT, SCAN
State: single point on PBEsol structure

The structure belongs to space group I4/mmm (No. 139); the cell edges are 3.1766, 3.1766 and 18.2344 Å and the angles 90.00°, 90.00° and 90.00°. The inequivalent atoms are Na at (0.0000, 0.0000, 0.1075), Cu at (0.0000, 0.5000, 0.2500) and Rh at (0.0000, 0.0000, 0.5000).

Its formation energy is 507 meV per atom.

---

Record 4
Material: NaCu3Ru
Method: DFT, SCAN
State: single point on PBEsol structure

The structure belongs to space group Pm-3m (No. 221); the cell edges are 4.2052, 4.2052 and 4.2052 Å and the angles 90.00°, 90.00° and 90.00°. The inequivalent atoms are Na at (0.0000, 0.0000, 0.0000), Cu at (0.0000, 0.0000, 0.5000) and Ru at (0.5000, 0.5000, 0.5000).

Its formation energy is 1645 meV per atom.